This record from Alexandria via LeMat-Bulk describes a relaxed AgMo crystal. The functional is PBE.

```
AgMo
1.0
4.367 0.000 0.000
-2.183 3.782 0.000
0.000 0.000 4.808
Ag Mo
2 2
Direct
0.333 0.667 0.250
0.667 0.333 0.750
0.000 0.000 0.000
0.000 0.000 0.500
```

Properties
Distance to the lowest polymorph of the same formula   950.9 meV/atom

***

This record from Alexandria via LeMat-Bulk describes a relaxed AgMo crystal. The functional is PBE.

```
AgMo
1.0
4.882 -0.006 0.001
4.157 2.561 0.001
-9.505 -2.687 5.308
Ag Mo
2 2
Direct
0.011 0.011 0.761
0.989 0.989 0.989
0.989 0.989 0.485
0.011 0.011 0.265
```

Properties
Distance to the lowest polymorph of the same formula   232.4 meV/atom

***

This record from Alexandria via LeMat-Bulk describes a relaxed AgMo3 crystal. The functional is PBE.

```
AgMo3
1.0
-1.117 3.719 4.229
-0.298 1.704 -5.474
-4.422 -1.184 -0.128
Ag Mo
2 6
Direct
0.333 0.667 0.250
0.667 0.333 0.750
0.845 0.155 0.250
0.155 0.845 0.750
0.845 0.690 0.250
0.155 0.310 0.750
0.310 0.155 0.250
0.690 0.845 0.750
```

Properties
Distance to the lowest polymorph of the same formula   135.5 meV/atom

***

This record from Alexandria via LeMat-Bulk describes a relaxed AgMo3 crystal. The functional is PBE.

```
AgMo3
1.0
-0.367 5.539 0.262
-0.586 2.681 -4.832
-1.794 -3.424 3.993
Ag Mo
1 3
Direct
0.013 0.000 0.013
0.067 0.750 0.317
0.520 0.500 0.020
0.566 0.250 0.317
```

Properties
Distance to the lowest polymorph of the same formula   212.2 meV/atom

***

This record from Alexandria via LeMat-Bulk describes a relaxed AgMo3 crystal. The functional is PBE.

```
AgMo3
1.0
-2.803 -3.769 2.214
0.818 -0.660 -5.085
2.214 -1.335 0.530
Ag Mo
1 3
Direct
0.000 0.000 0.000
0.000 0.500 0.500
0.500 0.000 0.500
0.500 0.500 0.000
```

Properties
Distance to the lowest polymorph of the same formula   206.1 meV/atom

***

This record from Alexandria via LeMat-Bulk describes a relaxed AgMo crystal. The functional is PBE.

```
AgMo
1.0
-1.209 1.580 4.837
-0.682 -1.139 5.059
1.416 0.682 4.989
Ag Mo
1 1
Direct
0.000 0.000 0.000
0.500 0.500 0.500
```

Properties
Distance to the lowest polymorph of the same formula   253.4 meV/atom

***

This record from Alexandria via LeMat-Bulk describes a relaxed AgMo crystal. The functional is PBE.

```
AgMo
1.0
4.887 0.000 0.000
1.445 4.669 0.000
-3.166 -2.334 2.900
Ag Mo
2 2
Direct
0.000 0.000 0.000
0.750 0.250 0.500
0.250 0.750 0.500
0.500 0.500 0.000
```

Properties
Distance to the lowest polymorph of the same formula   352.2 meV/atom

***

This record from Alexandria via LeMat-Bulk describes a relaxed AgMo8 crystal. The functional is PBE.

```
AgMo8
1.0
-4.791 4.791 1.584
4.791 -4.791 1.584
4.791 4.791 -1.584
Ag Mo
1 8
Direct
0.000 0.000 0.000
0.334 0.000 0.334
0.666 0.000 0.666
0.000 0.666 0.666
0.326 0.674 0.000
0.674 0.674 0.349
0.000 0.334 0.334
0.326 0.326 0.651
0.674 0.326 0.000
```

***

This record from Alexandria via LeMat-Bulk describes a relaxed AgMo crystal. The functional is PBE.

```
AgMo
1.0
4.479 0.000 0.000
-2.240 3.879 0.000
0.000 0.000 5.301
Ag Mo
2 2
Direct
0.333 0.667 0.750
0.667 0.333 0.250
0.333 0.667 0.250
0.667 0.333 0.750
```

Properties
Distance to the lowest polymorph of the same formula   1865.5 meV/atom

***

This record from Alexandria via LeMat-Bulk describes a relaxed AgMo3 crystal. The functional is PBE.

```
AgMo3
1.0
4.513 0.000 0.000
0.000 5.036 0.000
0.000 0.000 5.729
Ag Mo
2 6
Direct
0.000 0.338 0.000
0.500 0.662 0.500
0.500 0.691 0.000
0.000 0.840 0.236
0.500 0.160 0.264
0.000 0.309 0.500
0.000 0.840 0.764
0.500 0.160 0.736
```

Properties
Distance to the lowest polymorph of the same formula   201.6 meV/atom

***

This record from Alexandria via LeMat-Bulk describes a relaxed AgMo3 crystal. The functional is PBE.

```
AgMo3
1.0
-2.585 1.836 4.117
-0.122 -3.157 4.126
3.255 2.476 -3.206
Ag Mo
1 3
Direct
0.000 0.000 0.000
0.268 0.768 0.500
0.500 0.500 0.000
0.732 0.232 0.500
```

Properties
Distance to the lowest polymorph of the same formula   206.8 meV/atom

***

This record from Alexandria via LeMat-Bulk describes a relaxed AgMo crystal. The functional is PBE.

```
AgMo
1.0
-5.294 0.290 0.856
-0.200 -5.337 0.568
0.914 0.547 5.468
Ag Mo
4 4
Direct
0.172 0.172 0.000
0.672 0.328 0.500
0.328 0.672 0.500
0.828 0.828 0.000
0.355 0.645 0.000
0.855 0.855 0.500
0.145 0.145 0.500
0.645 0.355 0.000
```

Properties
Distance to the lowest polymorph of the same formula   978.4 meV/atom

***

Number 1: formation energy from the elements 1.22 eV per atom, M_tot 0.00 μB/atom. Number 2: formation energy from the elements 0.50 eV per atom, M_tot 0.00 μB/atom. Number 3: formation energy from the elements 0.38 eV per atom, M_tot 0.00 μB/atom. Number 4: formation energy from the elements 0.45 eV per atom, M_tot 0.00 μB/atom. Number 5: formation energy from the elements 0.45 eV per atom, M_tot 0.00 μB/atom. Number 6: formation energy from the elements 0.52 eV per atom, M_tot 0.00 μB/atom. Number 7: formation energy from the elements 0.62 eV per atom, M_tot 0.00 μB/atom. Number 8: formation energy from the elements 0.21 eV per atom, M_tot 0.00 μB/atom. Number 9: formation energy from the elements 2.13 eV per atom, M_tot 0.00 μB/atom. Number 10: formation energy from the elements 0.44 eV per atom, M_tot 0.00 μB/atom. Number 11: formation energy from the elements 0.45 eV per atom, M_tot 0.00 μB/atom. Number 12: formation energy from the elements 1.24 eV per atom, M_tot 0.00 μB/atom.